DFT (GGA-PBEsol) results for a relaxed structure of BeAlS2N.

Values from the calculation:
Spin magnetization (μB/cell): 0.0
Space group: P4/mmm, No. 123
Formation energy (no corrections) (eV per formula unit): 1.424
ρ (g/cm3): 2.94
E_tot (eV/atom): -4.793

a b c (Å): 4.508 4.508 3.169
angles (deg): 90.00 90.00 90.00
Fractional positions:
Be: 0.000 0.000 0.000
Al: 0.500 0.500 0.500
S: 0.000 0.500 0.000
S: 0.500 0.000 0.000
N: 0.000 0.000 0.500